Below is a relaxed structure of Li4MnV3O12, with properties calculated at the PBE with a Hubbard U level.

Geometry as CIF:
```
data_Li4MnV3O12
_chemical_formula_sum 'Li4 Mn1 V3 O12'
_space_group_name_H-M_alt 'P 1 2 1'
_space_group_IT_number 3
_cell_length_a 4.905
_cell_length_b 8.333
_cell_length_c 4.930
_cell_angle_alpha 90.00
_cell_angle_beta 90.78
_cell_angle_gamma 90.00
loop_
_space_group_symop_operation_xyz
'x,y,z'
'-x,y,-z'
loop_
_atom_site_label
_atom_site_type_symbol
_atom_site_fract_x
_atom_site_fract_y
_atom_site_fract_z
Li1 Li 0.000 0.000 0.000
Li2 Li 0.000 0.115 0.500
Li3 Li 0.500 0.493 0.500
Li4 Li 0.500 0.619 0.000
Mn1 Mn 0.000 0.401 0.000
V1 V 0.000 0.704 0.500
V2 V 0.500 0.197 0.000
V3 V 0.500 0.891 0.500
O1 O 0.140 0.567 0.259
O2 O 0.177 0.235 0.199
O3 O 0.180 0.893 0.307
O4 O 0.326 0.736 0.705
O5 O 0.340 0.397 0.824
O6 O 0.359 0.065 0.750
```

Values from the calculation:
- VASP energy (eV per atom) = -6.63